1.
Material: BaTcI2N
Method: DFT, PBE
State: relaxed

Geometry as POSCAR:
```
BaTcI2N
1.0
6.681 0.000 0.000
0.000 6.681 0.000
0.000 0.000 4.425
I N Ba Tc
2 1 1 1
direct
0.000 0.500 0.000
0.500 0.000 0.000
0.000 0.000 0.500
0.000 0.000 0.000
0.500 0.500 0.500
```

Results
Space-group type: P4/mmm, No. 123
M_tot in μB/cell: 4.614
DOS(E_F) in states/eV/cell: 6.12
Offset from the most stable computed form in meV per atom: 1514.7
Energy in eV/cell: -17.9
Energy relative to the elements, uncorrected in eV/atom: 1.156

=====

2.
Material: K2BeBr
Method: DFT, PBE
State: relaxed

Geometry as POSCAR:
```
K2BeBr
1.0
6.695 0.016 -0.005
5.379 3.986 -0.005
0.000 0.000 5.425
Be K Br
1 2 1
direct
0.483 0.483 0.624
0.997 0.997 0.125
0.750 0.750 0.626
0.269 0.269 0.126
```

Results
Space-group type: Cm, No. 8
M_tot in μB/cell: 0.000
DOS(E_F) in states/eV/cell: 1.78
Offset from the most stable computed form in meV per atom: 78.1
Energy in eV/cell: -8.1
Energy relative to the elements, uncorrected in eV/atom: -0.124

=====

Q: Which of these has the highest M_tot?
A: BaTcI2N

=====

Please write out number 1 again, unchanged.
Material: BaTcI2N
Method: DFT, PBE
State: relaxed

Geometry as POSCAR:
```
BaTcI2N
1.0
6.681 0.000 0.000
0.000 6.681 0.000
0.000 0.000 4.425
I N Ba Tc
2 1 1 1
direct
0.000 0.500 0.000
0.500 0.000 0.000
0.000 0.000 0.500
0.000 0.000 0.000
0.500 0.500 0.500
```

Results
Space-group type: P4/mmm, No. 123
M_tot in μB/cell: 4.614
DOS(E_F) in states/eV/cell: 6.12
Offset from the most stable computed form in meV per atom: 1514.7
Energy in eV/cell: -17.9
Energy relative to the elements, uncorrected in eV/atom: 1.156

=====

Q: Which formula does entry 2 have?
A: K2BeBr

=====

Q: Which of these has the lowest energy relative to the elements, uncorrected?
A: K2BeBr